Material: Ba3Be
Method: DFT, PBE
State: optimized geometry

Output
Fermi-level density of states = 20.67 states/eV/cell
Calculated formation energy = 0.51 eV/atom
Calculated total energy = -29.8 eV/cell
Energy above the lowest structure with this stoichiometry = 265 meV/atom

Lattice parameters (Å, degrees): 6.203 6.203 17.964 90.00 90.00 90.00
Space group I4/mmm (No. 139)
Asymmetric unit:
1 Ba 0.000 0.000 0.135 x4
2 Ba 0.000 0.500 0.000 x4
3 Ba 0.000 0.500 0.250 x4
4 Be 0.000 0.000 0.345 x4

---

Material: Ba3Be
Method: DFT, PBE
State: optimized geometry

Output
Fermi-level density of states = 5.16 states/eV/cell
Calculated formation energy = 0.39 eV/atom
Calculated total energy = -7.9 eV/cell
Energy above the lowest structure with this stoichiometry = 143 meV/atom

Lattice parameters (Å, degrees): 4.4772 4.4772 11.7109 90.00 90.00 120.00
Space group P-6m2 (No. 187)
Asymmetric unit:
1 Ba 0.0000 0.0000 0.0000 x1
2 Ba 0.3333 0.6667 0.3257 x2
3 Be 0.0000 0.0000 0.5000 x1

---

Material: BaBe2
Method: DFT, PBE
State: optimized geometry

Output
Fermi-level density of states = 15.58 states/eV/cell
Calculated formation energy = 1.46 eV/atom
Calculated total energy = -20.0 eV/cell
Energy above the lowest structure with this stoichiometry = 1147 meV/atom

Lattice parameters (Å, degrees): 7.239 7.239 7.239 90.00 90.00 90.00
Space group Fm-3m (No. 225)
Asymmetric unit:
1 Ba 0.000 0.000 0.000 x4
2 Be 0.250 0.250 0.250 x8

---

Material: Ba3Be
Method: DFT, PBE
State: optimized geometry

Output
Fermi-level density of states = 25.17 states/eV/cell
Calculated formation energy = 0.32 eV/atom
Calculated total energy = -32.9 eV/cell
Energy above the lowest structure with this stoichiometry = 73 meV/atom

Lattice parameters (Å, degrees): 8.447 11.608 7.621 90.00 90.00 90.00
Space group Pnma (No. 62)
Asymmetric unit:
1 Ba 0.037 0.250 0.146 x4
2 Ba 0.172 0.073 0.677 x8
3 Be 0.114 0.750 0.446 x4

---

Material: Ba5Be
Method: DFT, PBE
State: optimized geometry

Output
Fermi-level density of states = 50.10 states/eV/cell
Calculated formation energy = 0.70 eV/atom
Calculated total energy = -36.5 eV/cell
Energy above the lowest structure with this stoichiometry = 484 meV/atom

Lattice parameters (Å, degrees): 11.059 11.059 11.059 90.00 90.00 90.00
Space group F-43m (No. 216)
Asymmetric unit:
1 Ba 0.000 0.000 0.000 x4
2 Ba 0.124 0.124 0.624 x16
3 Be 0.250 0.250 0.250 x4

---

Material: Ba3Be
Method: DFT, PBE
State: optimized geometry

Output
Fermi-level density of states = 4.57 states/eV/cell
Calculated formation energy = 0.44 eV/atom
Calculated total energy = -7.7 eV/cell
Energy above the lowest structure with this stoichiometry = 198 meV/atom

Lattice parameters (Å, degrees): 4.884 5.054 7.749 90.00 105.69 90.00
Space group P2/m (No. 10)
Asymmetric unit:
1 Ba 0.000 0.000 0.000 x1
2 Ba 0.367 0.500 0.703 x2
3 Be 0.000 0.000 0.500 x1

---

Material: BaBe
Method: DFT, PBE
State: optimized geometry

Output
Fermi-level density of states = 1.53 states/eV/cell
Calculated formation energy = 0.80 eV/atom
Calculated total energy = -4.0 eV/cell
Energy above the lowest structure with this stoichiometry = 443 meV/atom

Lattice parameters (Å, degrees): 4.5259 4.5259 4.0916 90.00 90.00 120.00
Space group P-6m2 (No. 187)
Asymmetric unit:
1 Ba 0.0000 0.0000 0.0000 x1
2 Be 0.6667 0.3333 0.5000 x1

---

Material: Ba3Be
Method: DFT, PBE
State: optimized geometry

Output
Fermi-level density of states = 8.80 states/eV/cell
Calculated formation energy = 0.56 eV/atom
Calculated total energy = -14.5 eV/cell
Energy above the lowest structure with this stoichiometry = 310 meV/atom

Lattice parameters (Å, degrees): 6.990 6.990 6.990 90.00 90.00 90.00
Space group Pm-3n (No. 223)
Asymmetric unit:
1 Ba 0.000 0.250 0.500 x6
2 Be 0.000 0.000 0.000 x2

---

Material: BaBe
Method: DFT, PBE
State: optimized geometry

Output
Fermi-level density of states = 18.52 states/eV/cell
Calculated formation energy = 0.44 eV/atom
Calculated total energy = -38.2 eV/cell
Energy above the lowest structure with this stoichiometry = 76 meV/atom

Lattice parameters (Å, degrees): 11.990 11.990 4.195 90.00 90.00 90.00
Space group I4/mmm (No. 139)
Asymmetric unit:
1 Ba 0.000 0.259 0.000 x8
2 Be 0.235 0.235 0.500 x8

---

Material: BaBe3
Method: DFT, PBE
State: optimized geometry

Output
Fermi-level density of states = 2.14 states/eV/cell
Calculated formation energy = 0.18 eV/atom
Calculated total energy = -24.7 eV/cell
Energy above the lowest structure with this stoichiometry = 0 meV/atom

Lattice parameters (Å, degrees): 3.820 6.587 5.788 90.00 90.00 90.00
Space group Pmmn (No. 59, origin choice 2)
Asymmetric unit:
1 Ba 0.250 0.250 0.002 x2
2 Be 0.250 0.077 0.501 x4
3 Be 0.250 0.750 0.499 x2

---

Material: BaBe
Method: DFT, PBE
State: optimized geometry

Output
Fermi-level density of states = 4.46 states/eV/cell
Calculated formation energy = 0.43 eV/atom
Calculated total energy = -9.6 eV/cell
Energy above the lowest structure with this stoichiometry = 74 meV/atom

Lattice parameters (Å, degrees): 4.185 4.017 8.453 90.00 90.00 90.00
Space group Pmma (No. 51)
Asymmetric unit:
1 Ba 0.250 0.000 0.245 x2
2 Be 0.250 0.500 0.534 x2

---

Material: BaBe
Method: DFT, PBE
State: optimized geometry

Output
Fermi-level density of states = 45.59 states/eV/cell
Calculated formation energy = 0.62 eV/atom
Calculated total energy = -70.6 eV/cell
Energy above the lowest structure with this stoichiometry = 259 meV/atom

Lattice parameters (Å, degrees): 7.895 10.588 12.732 90.00 90.00 90.00
Space group Fddd (No. 70, origin choice 2)
Asymmetric unit:
1 Ba 0.125 0.329 0.125 x16
2 Be 0.009 0.375 0.875 x16

---

Material: BaBe
Method: DFT, PBE
State: optimized geometry

Output
Fermi-level density of states = 5.63 states/eV/cell
Calculated formation energy = 0.68 eV/atom
Calculated total energy = -25.7 eV/cell
Energy above the lowest structure with this stoichiometry = 319 meV/atom

Lattice parameters (Å, degrees): 5.7061 5.7061 12.0684 90.00 90.00 120.00
Space group R-3m (No. 166, hexagonal axes)
Asymmetric unit:
1 Ba 0.0000 0.0000 0.1414 x6
2 Be 0.0000 0.0000 0.4100 x6